Computed, not measured: a relaxed ZrTi2PdO crystal at the PBE level of DFT.

Output
As for the formation energy from raw total energies: -6.36 eV/f.u. The value obtained for the density of states at the Fermi level is 4.698 states/eV/cell.

Lattice parameters (Å, degrees): 4.0977 4.4967 4.0977 90.00 90.00 90.00
Atoms (fractional coordinates):
O1 0.0000 0.0000 0.0000
Zr1 0.0000 0.5000 0.0000
Pd1 0.5000 0.5000 0.5000
Ti1 0.0000 0.0000 0.5000
Ti2 0.5000 0.0000 0.0000

Computed, not measured: a relaxed TlPd2O3 crystal at the PBE level of DFT.

Output
As for the formation energy from raw total energies: -2.21 eV/f.u. The value obtained for the density of states at the Fermi level is 5.520 states/eV/cell.

Lattice parameters (Å, degrees): 7.0052 5.5823 5.5823 118.73 76.97 76.97
Atoms (fractional coordinates):
Tl1 0.1454 0.6554 0.6554
Tl2 0.8546 0.3446 0.3446
Pd1 0.5000 0.8346 0.1654
Pd2 0.0000 0.7745 0.2255
Pd3 0.0000 0.2255 0.7745
Pd4 0.5000 0.1654 0.8346
O1 0.6761 0.4075 0.0301
O2 0.6761 0.0301 0.4075
O3 0.3239 0.5925 0.9699
O4 0.6732 0.7846 0.7846
O5 0.3268 0.2154 0.2154
O6 0.3239 0.9699 0.5925

Computed, not measured: a relaxed TlPdO2 crystal at the PBE level of DFT.

Output
As for the formation energy from raw total energies: -1.38 eV/f.u. The value obtained for the density of states at the Fermi level is 3.168 states/eV/cell.

Lattice parameters (Å, degrees): 7.1914 7.1914 7.1914 25.89 25.89 25.89
Atoms (fractional coordinates):
Tl1 0.0000 0.0000 0.0000
O1 0.8797 0.8797 0.8797
O2 0.1203 0.1203 0.1203
Pd1 0.5000 0.5000 0.5000

Computed, not measured: a relaxed TlPdO crystal at the PBE level of DFT.

Output
As for the formation energy from raw total energies: -0.24 eV/f.u. The value obtained for the density of states at the Fermi level is 5.744 states/eV/cell.

Lattice parameters (Å, degrees): 5.9252 6.7758 6.0410 90.00 90.00 115.93
Atoms (fractional coordinates):
Pd1 0.6131 0.2262 0.4994
Pd2 0.8869 0.7738 0.9994
Pd3 0.3869 0.7738 0.5006
Pd4 0.1131 0.2262 0.0006
O1 0.3370 0.1739 0.2500
O2 0.1630 0.8261 0.7500
O3 0.6630 0.8261 0.7500
O4 0.8370 0.1739 0.2500
Tl1 0.8509 0.7018 0.4536
Tl2 0.6491 0.2982 0.9536
Tl3 0.1491 0.2982 0.5464
Tl4 0.3509 0.7018 0.0464